An optimized crystal structure of SrMg4Sc, computed with PBE.

The structure in CIF format:
```
data_SrMg4Sc
_cell_length_a 8.655
_cell_length_b 8.655
_cell_length_c 8.655
_cell_angle_alpha 90.00
_cell_angle_beta 90.00
_cell_angle_gamma 90.00
_symmetry_space_group_name_H-M 'F -4 3 m'
_symmetry_Int_Tables_number 216
_symmetry_space_group_name_Hall 'F -4 2 3'
loop_
_atom_site_label
_atom_site_fract_x
_atom_site_fract_y
_atom_site_fract_z
Sr1 0.000 0.000 0.000
Mg1 0.124 0.124 0.624
Sc1 0.250 0.250 0.250
```

Properties
Spin magnetization ... 0.00 μB/f.u.
E ... -2.3973 eV/atom
Calculated density ... 2.35 g/cm³
Calculated formation energy ... 1.3 meV per atom